Computed, not measured: an optimized crystal structure of TcOs at the PBEsol level of DFT.

The structure belongs to space group P6_3/mmc (No. 194); the cell edges are 3.8695, 3.8695 and 5.0580 Å and the angles 90.00°, 90.00° and 120.00°. Symmetry generates all atoms from Tc at (0.0000, 0.0000, 0.0000) and Os at (0.3333, 0.6667, 0.2500).

The calculation puts the density of states at the Fermi level at 4.37 states/eV/cell. The value obtained for the energy above the lowest structure with this stoichiometry is 1166 meV/atom. The formation energy from the elements comes out at 1.070 eV/atom.